First-principles (GGA-PBE) data for an optimized crystal structure of Pr5As4S, as listed in Alexandria via LeMat-Bulk.

```
10
Lattice="-1.706 -2.751 2.790 2.965 1.083 2.881 -9.687 11.746 2.385" Properties=species:S:1:pos:R:3 pbc="T T T"
Pr 0.629 -0.834 2.835
Pr -5.429 6.541 3.129
Pr -1.813 2.185 1.045
Pr -6.615 7.893 7.010
Pr -2.999 3.537 4.926
As -4.819 5.730 5.975
As -1.150 1.310 3.861
As -3.609 4.348 2.080
As -7.278 8.768 4.194
S 0.000 0.000 0.000
```

Computed properties:
For the formation energy from raw total energies, the calculation gives -1622 meV/atom. For the polymorph energy (0 for the lowest one), the calculation gives 0.0141 eV/atom.